Entry 1:
This record from Alexandria via LeMat-Bulk describes a relaxed structure of CrCoO3. The functional is PBE with a Hubbard U. Values from VASP.

```
&SYSTEM
  ibrav = 0, nat = 5, ntyp = 3
/
ATOMIC_SPECIES
Cr 52.00 Cr.upf
Co 58.93 Co.upf
O 16.00 O.upf
ATOMIC_POSITIONS crystal
Cr 0.000 0.000 0.000
Co 0.500 0.500 0.500
O 0.000 0.000 0.500
O 0.000 0.500 0.000
O 0.500 0.000 0.000
CELL_PARAMETERS angstrom
3.676 0.000 0.000
0.000 3.676 0.000
0.000 0.000 3.676
```

**Space-group type**: No. 221



Entry 2:
This record from Alexandria via LeMat-Bulk describes a relaxed structure of CrCo3O8. The functional is PBE with a Hubbard U. Values from VASP.

```
&SYSTEM
  ibrav = 0, nat = 12, ntyp = 3
/
ATOMIC_SPECIES
Cr 52.00 Cr.upf
Co 58.93 Co.upf
O 16.00 O.upf
ATOMIC_POSITIONS crystal
Cr 0.000 0.000 0.000
Co 0.000 0.500 0.500
Co 0.500 0.000 0.500
Co 0.500 0.500 0.000
O 0.234 0.234 0.723
O 0.234 0.723 0.234
O 0.270 0.270 0.270
O 0.277 0.766 0.766
O 0.723 0.234 0.234
O 0.730 0.730 0.730
O 0.766 0.277 0.766
O 0.766 0.766 0.277
CELL_PARAMETERS angstrom
2.866 1.655 4.964
-2.866 1.655 4.964
0.000 -3.310 4.964
```

**E above lowest polymorph**: 0.105 eV/f.u.
**Space-group type**: No. 166



Entry 3:
This record from Alexandria via LeMat-Bulk describes a relaxed structure of CrCoO2. The functional is PBE with a Hubbard U. Values from VASP.

```
&SYSTEM
  ibrav = 0, nat = 4, ntyp = 3
/
ATOMIC_SPECIES
Cr 52.00 Cr.upf
Co 58.93 Co.upf
O 16.00 O.upf
ATOMIC_POSITIONS crystal
Cr 0.000 0.000 0.000
Co 0.500 0.500 0.500
O 0.107 0.107 0.107
O 0.893 0.893 0.893
CELL_PARAMETERS angstrom
1.515 0.875 5.888
-1.515 0.875 5.888
0.000 -1.749 5.888
```

**E above lowest polymorph**: 0.806 eV/f.u.
**Space-group type**: No. 166



Entry 4:
This record from Alexandria via LeMat-Bulk describes a relaxed structure of Cr3Co2O12. The functional is PBE with a Hubbard U. Values from VASP.

```
&SYSTEM
  ibrav = 0, nat = 68, ntyp = 3
/
ATOMIC_SPECIES
Cr 52.00 Cr.upf
Co 58.93 Co.upf
O 16.00 O.upf
ATOMIC_POSITIONS crystal
Cr 0.000 0.019 0.250
Cr 0.000 0.981 0.750
Cr 0.147 0.405 0.615
Cr 0.147 0.595 0.115
Cr 0.353 0.095 0.115
Cr 0.353 0.905 0.615
Cr 0.500 0.481 0.750
Cr 0.500 0.519 0.250
Cr 0.647 0.095 0.385
Cr 0.647 0.905 0.885
Cr 0.853 0.405 0.885
Cr 0.853 0.595 0.385
Co 0.121 0.251 0.962
Co 0.121 0.749 0.462
Co 0.379 0.249 0.462
Co 0.379 0.751 0.962
Co 0.621 0.249 0.038
Co 0.621 0.751 0.538
Co 0.879 0.251 0.538
Co 0.879 0.749 0.038
O 0.027 0.338 0.583
O 0.027 0.662 0.083
O 0.058 0.123 0.124
O 0.058 0.877 0.624
O 0.093 0.091 0.827
O 0.093 0.909 0.327
O 0.146 0.406 0.091
O 0.146 0.594 0.591
O 0.181 0.368 0.787
O 0.181 0.632 0.287
O 0.233 0.331 0.497
O 0.233 0.669 0.997
O 0.267 0.169 0.997
O 0.267 0.831 0.497
O 0.319 0.132 0.287
O 0.319 0.868 0.787
O 0.354 0.094 0.591
O 0.354 0.906 0.091
O 0.407 0.409 0.327
O 0.407 0.591 0.827
O 0.442 0.377 0.624
O 0.442 0.623 0.124
O 0.473 0.162 0.083
O 0.473 0.838 0.583
O 0.527 0.162 0.417
O 0.527 0.838 0.917
O 0.558 0.377 0.876
O 0.558 0.623 0.376
O 0.593 0.409 0.173
O 0.593 0.591 0.673
O 0.646 0.094 0.909
O 0.646 0.906 0.409
O 0.681 0.132 0.213
O 0.681 0.868 0.713
O 0.733 0.169 0.503
O 0.733 0.831 0.003
O 0.767 0.331 0.003
O 0.767 0.669 0.503
O 0.819 0.368 0.713
O 0.819 0.632 0.213
O 0.854 0.406 0.409
O 0.854 0.594 0.909
O 0.907 0.091 0.673
O 0.907 0.909 0.173
O 0.942 0.123 0.376
O 0.942 0.877 0.876
O 0.973 0.338 0.917
O 0.973 0.662 0.417
CELL_PARAMETERS angstrom
12.536 0.000 0.000
0.000 9.011 0.000
0.000 0.000 9.058
```

**Space-group type**: No. 60



Entry 5:
This record from Alexandria via LeMat-Bulk describes a relaxed structure of Cr2CoO. The functional is PBE with a Hubbard U. Values from VASP.

```
&SYSTEM
  ibrav = 0, nat = 8, ntyp = 3
/
ATOMIC_SPECIES
Cr 52.00 Cr.upf
Co 58.93 Co.upf
O 16.00 O.upf
ATOMIC_POSITIONS crystal
Cr 0.028 0.625 0.903
Cr 0.375 0.278 0.403
Cr 0.722 0.125 0.097
Cr 0.875 0.972 0.597
Co 0.250 0.750 0.500
Co 0.500 0.500 0.000
O 0.000 0.000 0.000
O 0.750 0.250 0.500
CELL_PARAMETERS angstrom
-3.117 3.117 3.231
3.117 -3.117 3.231
3.117 3.117 -3.231
```

**Space-group type**: No. 122



Entry 6:
This record from Alexandria via LeMat-Bulk describes a relaxed structure of Cr3CoO. The functional is PBE with a Hubbard U. Values from VASP.

```
&SYSTEM
  ibrav = 0, nat = 5, ntyp = 3
/
ATOMIC_SPECIES
Cr 52.00 Cr.upf
Co 58.93 Co.upf
O 16.00 O.upf
ATOMIC_POSITIONS crystal
Cr 0.000 0.000 0.500
Cr 0.000 0.500 0.000
Cr 0.500 0.000 0.000
Co 0.000 0.000 0.000
O 0.500 0.500 0.500
CELL_PARAMETERS angstrom
4.680 0.000 0.000
0.000 4.680 0.000
0.000 0.000 4.680
```

**Space-group type**: No. 221



Entry 7:
This record from Alexandria via LeMat-Bulk describes a relaxed structure of CrCoO2. The functional is PBE with a Hubbard U. Values from VASP.

```
&SYSTEM
  ibrav = 0, nat = 8, ntyp = 3
/
ATOMIC_SPECIES
Cr 52.00 Cr.upf
Co 58.93 Co.upf
O 16.00 O.upf
ATOMIC_POSITIONS crystal
Cr 0.000 0.000 0.000
Cr 0.750 0.250 0.500
Co 0.250 0.750 0.500
Co 0.500 0.500 0.000
O 0.109 0.625 0.984
O 0.375 0.359 0.484
O 0.641 0.125 0.016
O 0.875 0.891 0.516
CELL_PARAMETERS angstrom
-2.065 2.065 5.146
2.065 -2.065 5.146
2.065 2.065 -5.146
```

**E above lowest polymorph**: 2.996 eV/f.u.
**Space-group type**: No. 122



Entry 8:
This record from Alexandria via LeMat-Bulk describes a relaxed structure of CrCoO3. The functional is PBE with a Hubbard U. Values from VASP.

```
&SYSTEM
  ibrav = 0, nat = 5, ntyp = 3
/
ATOMIC_SPECIES
Cr 52.00 Cr.upf
Co 58.93 Co.upf
O 16.00 O.upf
ATOMIC_POSITIONS crystal
Cr 0.000 0.000 0.000
Co 0.500 0.500 0.500
O 0.000 0.500 0.500
O 0.500 0.000 0.500
O 0.500 0.500 0.000
CELL_PARAMETERS angstrom
3.630 0.000 0.000
0.000 3.630 0.000
0.000 0.000 3.630
```

**Space-group type**: No. 221



Entry 9:
This record from Alexandria via LeMat-Bulk describes a relaxed structure of CrCoO3. The functional is PBE with a Hubbard U. Values from VASP.

```
&SYSTEM
  ibrav = 0, nat = 10, ntyp = 3
/
ATOMIC_SPECIES
Cr 52.00 Cr.upf
Co 58.93 Co.upf
O 16.00 O.upf
ATOMIC_POSITIONS crystal
Cr 0.153 0.847 0.000
Cr 0.847 0.153 0.000
Co 0.352 0.648 0.500
Co 0.648 0.352 0.500
O 0.041 0.445 0.762
O 0.224 0.224 0.226
O 0.445 0.041 0.762
O 0.555 0.959 0.238
O 0.776 0.776 0.774
O 0.959 0.555 0.238
CELL_PARAMETERS angstrom
2.430 -4.670 0.000
2.430 4.670 0.000
-1.242 0.000 4.760
```

**Space-group type**: No. 12



Entry 10:
This record from Alexandria via LeMat-Bulk describes a relaxed structure of CrCo2O2. The functional is PBE with a Hubbard U. Values from VASP.

```
&SYSTEM
  ibrav = 0, nat = 10, ntyp = 3
/
ATOMIC_SPECIES
Cr 52.00 Cr.upf
Co 58.93 Co.upf
O 16.00 O.upf
ATOMIC_POSITIONS crystal
Cr 0.000 0.000 0.000
Cr 0.500 0.500 0.000
Co 0.179 0.321 0.500
Co 0.321 0.821 0.500
Co 0.679 0.179 0.500
Co 0.821 0.679 0.500
O 0.189 0.311 0.000
O 0.311 0.811 0.000
O 0.689 0.189 0.000
O 0.811 0.689 0.000
CELL_PARAMETERS angstrom
5.366 0.000 0.000
0.000 5.366 0.000
0.000 0.000 3.795
```

**Space-group type**: No. 127



Entry 11:
This record from Alexandria via LeMat-Bulk describes a relaxed structure of CrCo2O. The functional is PBE with a Hubbard U. Values from VASP.

```
&SYSTEM
  ibrav = 0, nat = 8, ntyp = 3
/
ATOMIC_SPECIES
Cr 52.00 Cr.upf
Co 58.93 Co.upf
O 16.00 O.upf
ATOMIC_POSITIONS crystal
Cr 0.000 0.000 0.000
Cr 0.750 0.250 0.500
Co 0.219 0.625 0.094
Co 0.375 0.469 0.594
Co 0.531 0.125 0.906
Co 0.875 0.781 0.406
O 0.250 0.750 0.500
O 0.500 0.500 0.000
CELL_PARAMETERS angstrom
-3.591 3.591 2.030
3.591 -3.591 2.030
3.591 3.591 -2.030
```

**Space-group type**: No. 122



Entry 12:
This record from Alexandria via LeMat-Bulk describes a relaxed structure of Cr2CoO4. The functional is PBE with a Hubbard U. Values from VASP.

```
&SYSTEM
  ibrav = 0, nat = 14, ntyp = 3
/
ATOMIC_SPECIES
Cr 52.00 Cr.upf
Co 58.93 Co.upf
O 16.00 O.upf
ATOMIC_POSITIONS crystal
Cr 0.000 0.000 0.000
Cr 0.000 0.000 0.500
Cr 0.000 0.500 0.000
Cr 0.500 0.000 0.000
Co 0.375 0.375 0.375
Co 0.625 0.625 0.625
O 0.216 0.761 0.761
O 0.239 0.239 0.239
O 0.239 0.239 0.784
O 0.239 0.784 0.239
O 0.761 0.216 0.761
O 0.761 0.761 0.216
O 0.761 0.761 0.761
O 0.784 0.239 0.239
CELL_PARAMETERS angstrom
0.000 4.246 4.246
4.246 0.000 4.246
4.246 4.246 0.000
```

**Space-group type**: No. 227



Which final energy belongs to each record? In order, -30.299 -72.740 -25.949 -438.978 -49.282 -25.756 -47.518 -29.997 -68.268 -57.433 -44.617 -104.620 eV per cell.